Entry 1:
A relaxed structure of Ni2H2Au. Source: the Alexandria database, functional GGA-PBE.

Cell lengths 2.8863, 2.8863, 5.8273 Å; angles 75.66, 75.66, 90.00 degrees
Sites, in units of the cell vectors:
H (0.7500, 0.2500, 0.5000)
H (0.2500, 0.7500, 0.5000)
Ni (0.6677, 0.6677, 0.6646)
Ni (0.3323, 0.3323, 0.3354)
Au (0.0000, 0.0000, 0.0000)

The total energy comes out at -4.3235 eV per atom. Its space-group type is No. 139. Its density of states at the Fermi level is 1.662 states/eV/cell.



Entry 2:
A relaxed structure of AlRe2Ni. Source: the Alexandria database, functional GGA-PBE.

Cell lengths 4.0852, 2.7253, 5.1133 Å; angles 75.31, 90.00, 90.00 degrees
Sites, in units of the cell vectors:
Al (0.0000, 0.6709, 0.5147)
Ni (0.5000, 0.5744, 0.7399)
Re (0.5000, 0.3018, 0.2501)
Re (0.0000, 0.9528, 0.9952)

The calculation puts the energy of formation from the pure elements at -8.8 kJ/mol of atoms. The total energy comes out at -8.6960 eV per atom. Its space-group type is No. 6. Its density of states at the Fermi level is 3.270 states/eV/cell.



Entry 3:
A relaxed structure of BaSrRu. Source: the Alexandria database, functional GGA-PBE.

Cell lengths 5.2260, 5.2260, 5.2260 Å; angles 60.00, 60.00, 60.00 degrees
Sites, in units of the cell vectors:
Sr (0.0000, 0.0000, 0.0000)
Ba (0.5000, 0.5000, 0.5000)
Ru (0.7500, 0.7500, 0.7500)

The calculation puts the energy of formation from the pure elements at 46.4 kJ/mol of atoms. The total energy comes out at -3.8130 eV per atom. Its space-group type is No. 216. Its density of states at the Fermi level is 0.393 states/eV/cell.



Entry 4:
A relaxed structure of HfTaCd. Source: the Alexandria database, functional GGA-PBE.

Cell lengths 5.4045, 5.5280, 5.7388 Å; angles 76.69, 61.91, 60.74 degrees
Sites, in units of the cell vectors:
Cd (0.1567, 0.6867, 0.0000)
Cd (0.8433, 0.3133, 0.0000)
Ta (0.7500, 0.5000, 0.5000)
Ta (0.2500, 0.5000, 0.5000)
Hf (0.3367, 0.0000, 0.3266)
Hf (0.6633, 0.0000, 0.6734)

The calculation puts the energy of formation from the pure elements at 45.2 kJ/mol of atoms. The total energy comes out at -7.1052 eV per atom. Its space-group type is No. 69. Its density of states at the Fermi level is 7.004 states/eV/cell.



Entry 5:
A relaxed structure of Ac2AlAg7. Source: the Alexandria database, functional GGA-PBE.

Cell lengths 4.4119, 4.4119, 12.2682 Å; angles 90.00, 90.00, 90.00 degrees
Sites, in units of the cell vectors:
Ag (0.5000, 0.0000, 0.1331)
Ag (0.0000, 0.5000, 0.6429)
Ag (0.5000, 0.0000, 0.3571)
Ag (0.0000, 0.0000, 0.5000)
Ag (0.5000, 0.5000, 0.5000)
Ag (0.0000, 0.0000, 0.0000)
Ag (0.0000, 0.5000, 0.8669)
Ac (0.5000, 0.0000, 0.7529)
Ac (0.0000, 0.5000, 0.2471)
Al (0.5000, 0.5000, 0.0000)

The calculation puts the energy of formation from the pure elements at -17.0 kJ/mol of atoms. The total energy comes out at -3.3675 eV per atom. Its space-group type is No. 115. Its density of states at the Fermi level is 5.321 states/eV/cell.



Entry 6:
A relaxed structure of CaY2ScGa. Source: the Alexandria database, functional GGA-PBE.

Cell lengths 5.5059, 5.1934, 5.5059 Å; angles 90.00, 90.00, 90.00 degrees
Sites, in units of the cell vectors:
Y (0.5000, 0.0000, 0.0000)
Y (0.0000, 0.0000, 0.5000)
Ga (0.5000, 0.5000, 0.5000)
Ca (0.0000, 0.0000, 0.0000)
Sc (0.0000, 0.5000, 0.0000)

The calculation puts the energy of formation from the pure elements at 101.8 kJ/mol of atoms. The total energy comes out at -3.8031 eV per atom. Its space-group type is No. 123. Its density of states at the Fermi level is 6.036 states/eV/cell.